Density functional theory data (PBE) for an optimized crystal structure of MgTc2Hg.

abc: 2.730 2.730 9.071
angles: 90.00 90.00 90.00
Atoms (fractional coordinates):
Hg  0.500  0.500  0.250
Mg  0.500  0.500  0.750
Tc  0.000  0.000  0.993
Tc  0.000  0.000  0.507

Calculated values
**ΔH_f (0 K)**: 54.5 kJ per mole of atoms
**DOS at the Fermi energy**: 4.63 states/eV/f.u.
**Distance to the lowest polymorph of the same formula**: 498 meV per atom
**V**: 16.9 Å³/atom
**Energy**: -5.092 eV/atom
**Space group**: P4/mmm, No. 123